[1]
# GGA-PBEsol DyLuAg2, optimized geometry
data_DyLuAg2
_cell_length_a 7.063
_cell_length_b 7.063
_cell_length_c 7.063
_cell_angle_alpha 90.00
_cell_angle_beta 90.00
_cell_angle_gamma 90.00
_space_group_name_H-M_alt 'F m -3 m'
_space_group_IT_number 225
_space_group_name_Hall '-F 4 2 3'
loop_
_atom_site_label
_atom_site_fract_x
_atom_site_fract_y
_atom_site_fract_z
Dy1 0.000 0.000 0.000
Lu1 0.000 0.000 0.500
Ag1 0.250 0.250 0.250
# **ΔH_f (0 K)**: -0.346 eV per atom
# **DFT total energy**: -71.4 eV for the cell shown
# **Calculated volume**: 352.30 Å³ per cell

=====

[2]
# GGA-PBEsol FePRu3, optimized geometry
data_FePRu3
_cell_length_a 4.253
_cell_length_b 4.253
_cell_length_c 4.253
_cell_angle_alpha 90.00
_cell_angle_beta 90.00
_cell_angle_gamma 90.00
_space_group_name_H-M_alt 'P m -3 m'
_space_group_IT_number 221
_space_group_name_Hall '-P 4 2 3'
loop_
_atom_site_label
_atom_site_fract_x
_atom_site_fract_y
_atom_site_fract_z
Fe1 0.000 0.000 0.000
P1 0.500 0.500 0.500
Ru1 0.000 0.500 0.500
# **ΔH_f (0 K)**: 0.647 eV per atom
# **DFT total energy**: -42.0 eV for the cell shown
# **Calculated volume**: 76.90 Å³ per cell

=====

[3]
# GGA-PBEsol K3TmCl6, optimized geometry
data_K3TmCl6
_cell_length_a 12.895
_cell_length_b 7.656
_cell_length_c 12.325
_cell_angle_alpha 90.00
_cell_angle_beta 109.61
_cell_angle_gamma 90.00
_space_group_name_H-M_alt 'P 1 21/c 1'
_space_group_IT_number 14
loop_
_space_group_symop_operation_xyz
'x,y,z'
'-x,-y,-z'
'-x,y+1/2,-z+1/2'
'x,-y+1/2,z+1/2'
loop_
_atom_site_label
_atom_site_fract_x
_atom_site_fract_y
_atom_site_fract_z
K1 0.111 0.040 0.374
K2 0.317 0.058 0.770
K3 0.322 0.580 0.611
Tm1 0.000 0.000 0.000
Tm2 0.500 0.000 0.500
Cl1 0.103 0.030 0.856
Cl2 0.105 0.709 0.077
Cl3 0.151 0.172 0.150
Cl4 0.337 0.702 0.892
Cl5 0.354 0.228 0.503
Cl6 0.499 0.632 0.194
# **DFT total energy**: -166.3 eV for the cell shown
# **Calculated volume**: 1146.20 Å³ per cell

=====

[4]
# GGA-PBEsol YNiIr, optimized geometry
data_YNiIr
_cell_length_a 4.0699
_cell_length_b 4.0699
_cell_length_c 3.7478
_cell_angle_alpha 90.00
_cell_angle_beta 90.00
_cell_angle_gamma 120.00
_space_group_name_H-M_alt 'P -6 m 2'
_space_group_IT_number 187
_space_group_name_Hall 'P -6 2'
loop_
_atom_site_label
_atom_site_fract_x
_atom_site_fract_y
_atom_site_fract_z
Y1 0.0000 0.0000 0.0000
Ni1 0.3333 0.6667 0.5000
Ir1 0.6667 0.3333 0.5000
# **ΔH_f (0 K)**: -0.507 eV per atom
# **DFT total energy**: -24.3 eV for the cell shown
# **Calculated volume**: 53.76 Å³ per cell

=====

[5]
# GGA-PBEsol Sc2TeSe, optimized geometry
data_Sc2TeSe
_cell_length_a 3.689
_cell_length_b 3.692
_cell_length_c 12.943
_cell_angle_alpha 90.00
_cell_angle_beta 90.00
_cell_angle_gamma 90.00
_space_group_name_H-M_alt 'I m m 2'
_space_group_IT_number 44
loop_
_space_group_symop_operation_xyz
'x,y,z'
'-x,-y,z'
'-x,y,z'
'x,-y,z'
'x+1/2,y+1/2,z+1/2'
'-x+1/2,-y+1/2,z+1/2'
'-x+1/2,y+1/2,z+1/2'
'x+1/2,-y+1/2,z+1/2'
loop_
_atom_site_label
_atom_site_fract_x
_atom_site_fract_y
_atom_site_fract_z
Sc1 0.000 0.000 0.000
Sc2 0.000 0.500 0.230
Te1 0.000 0.000 0.401
Se1 0.000 0.500 0.655
# **E above lowest polymorph**: 6.85 kJ per mole of atoms
# **DFT total energy**: -52.1 eV for the cell shown
# **Calculated volume**: 176.25 Å³ per cell

=====

[6]
# GGA-PBEsol RbZrOs3, optimized geometry
data_RbZrOs3
_cell_length_a 4.624
_cell_length_b 4.624
_cell_length_c 4.624
_cell_angle_alpha 90.00
_cell_angle_beta 90.00
_cell_angle_gamma 90.00
_space_group_name_H-M_alt 'P m -3 m'
_space_group_IT_number 221
_space_group_name_Hall '-P 4 2 3'
loop_
_atom_site_label
_atom_site_fract_x
_atom_site_fract_y
_atom_site_fract_z
Rb1 0.000 0.000 0.000
Zr1 0.500 0.500 0.500
Os1 0.000 0.000 0.500
# **ΔH_f (0 K)**: 3.322 eV per atom
# **DFT total energy**: -30.2 eV for the cell shown
# **Calculated volume**: 98.84 Å³ per cell

=====

[7]
# GGA-PBEsol NiHgPt2, optimized geometry
data_NiHgPt2
_cell_length_a 3.968
_cell_length_b 3.968
_cell_length_c 7.666
_cell_angle_alpha 90.00
_cell_angle_beta 90.00
_cell_angle_gamma 90.00
_space_group_name_H-M_alt 'I -4 m 2'
_space_group_IT_number 119
_space_group_name_Hall 'I -4 -2'
loop_
_atom_site_label
_atom_site_fract_x
_atom_site_fract_y
_atom_site_fract_z
Ni1 0.000 0.000 0.000
Hg1 0.000 0.500 0.750
Pt1 0.000 0.000 0.500
Pt2 0.000 0.500 0.250
# **ΔH_f (0 K)**: 0.084 eV per atom
# **DFT total energy**: -40.6 eV for the cell shown
# **Calculated volume**: 120.69 Å³ per cell

=====

[8]
# GGA-PBEsol ZnCo2Os, optimized geometry
data_ZnCo2Os
_cell_length_a 8.320
_cell_length_b 2.574
_cell_length_c 4.502
_cell_angle_alpha 90.00
_cell_angle_beta 98.70
_cell_angle_gamma 90.00
_space_group_name_H-M_alt 'C 1 2/m 1'
_space_group_IT_number 12
loop_
_space_group_symop_operation_xyz
'x,y,z'
'-x,-y,-z'
'-x,y,-z'
'x,-y,z'
'x+1/2,y+1/2,z'
'-x+1/2,-y+1/2,-z'
'-x+1/2,y+1/2,-z'
'x+1/2,-y+1/2,z'
loop_
_atom_site_label
_atom_site_fract_x
_atom_site_fract_y
_atom_site_fract_z
Zn1 0.000 0.000 0.000
Co1 0.248 0.000 0.738
Os1 0.000 0.500 0.500
# **ΔH_f (0 K)**: 0.198 eV per atom
# **DFT total energy**: -57.0 eV for the cell shown
# **Calculated volume**: 95.29 Å³ per cell

=====

[9]
# GGA-PBEsol KZn2Co2, optimized geometry
data_KZn2Co2
_cell_length_a 4.383
_cell_length_b 4.383
_cell_length_c 8.974
_cell_angle_alpha 90.00
_cell_angle_beta 90.00
_cell_angle_gamma 90.00
_space_group_name_H-M_alt 'I 4/m m m'
_space_group_IT_number 139
_space_group_name_Hall '-I 4 2'
loop_
_atom_site_label
_atom_site_fract_x
_atom_site_fract_y
_atom_site_fract_z
K1 0.000 0.000 0.000
Zn1 0.000 0.500 0.250
Co1 0.000 0.000 0.379
# **ΔH_f (0 K)**: 0.578 eV per atom
# **DFT total energy**: -33.8 eV for the cell shown
# **Calculated volume**: 172.38 Å³ per cell

=====

[10]
# GGA-PBEsol Zn2RuPb, optimized geometry
data_Zn2RuPb
_cell_length_a 3.246
_cell_length_b 4.075
_cell_length_c 5.377
_cell_angle_alpha 90.00
_cell_angle_beta 106.19
_cell_angle_gamma 90.00
_space_group_name_H-M_alt 'P 1 m 1'
_space_group_IT_number 6
loop_
_space_group_symop_operation_xyz
'x,y,z'
'x,-y,z'
loop_
_atom_site_label
_atom_site_fract_x
_atom_site_fract_y
_atom_site_fract_z
Zn1 0.000 0.000 0.000
Zn2 0.440 0.500 0.869
Ru1 0.301 0.000 0.585
Pb1 0.714 0.500 0.388
# **ΔH_f (0 K)**: 0.227 eV per atom
# **DFT total energy**: -16.4 eV for the cell shown
# **Calculated volume**: 68.30 Å³ per cell

=====

[11]
# GGA-PBEsol InTcW2, optimized geometry
data_InTcW2
_cell_length_a 2.8512
_cell_length_b 2.8512
_cell_length_c 27.7640
_cell_angle_alpha 90.00
_cell_angle_beta 90.00
_cell_angle_gamma 120.00
_space_group_name_H-M_alt 'R -3 m'
_space_group_IT_number 166
_space_group_name_Hall '-R 3 2"'
loop_
_atom_site_label
_atom_site_fract_x
_atom_site_fract_y
_atom_site_fract_z
In1 0.0000 0.0000 0.0000
Tc1 0.0000 0.0000 0.5000
W1 0.0000 0.0000 0.2442
# **E above lowest polymorph**: 3.89 kJ per mole of atoms
# **ΔH_f (0 K)**: 0.392 eV per atom
# **DFT total energy**: -120.9 eV for the cell shown
# **Calculated volume**: 195.46 Å³ per cell

=====

[12]
# GGA-PBEsol ScHg2Os, optimized geometry
data_ScHg2Os
_cell_length_a 6.628
_cell_length_b 6.628
_cell_length_c 6.628
_cell_angle_alpha 90.00
_cell_angle_beta 90.00
_cell_angle_gamma 90.00
_space_group_name_H-M_alt 'F -4 3 m'
_space_group_IT_number 216
_space_group_name_Hall 'F -4 2 3'
loop_
_atom_site_label
_atom_site_fract_x
_atom_site_fract_y
_atom_site_fract_z
Sc1 0.000 0.000 0.000
Hg1 0.000 0.000 0.500
Hg2 0.250 0.250 0.750
Os1 0.250 0.250 0.250
# **E above lowest polymorph**: 15.55 kJ per mole of atoms
# **ΔH_f (0 K)**: 0.207 eV per atom
# **DFT total energy**: -76.5 eV for the cell shown
# **Calculated volume**: 291.13 Å³ per cell

=====

Look up the DFT total energy of the third one. -166.3 eV for the cell shown

=====

Copy entry 2 word for word.
# GGA-PBEsol FePRu3, optimized geometry
data_FePRu3
_cell_length_a 4.253
_cell_length_b 4.253
_cell_length_c 4.253
_cell_angle_alpha 90.00
_cell_angle_beta 90.00
_cell_angle_gamma 90.00
_space_group_name_H-M_alt 'P m -3 m'
_space_group_IT_number 221
_space_group_name_Hall '-P 4 2 3'
loop_
_atom_site_label
_atom_site_fract_x
_atom_site_fract_y
_atom_site_fract_z
Fe1 0.000 0.000 0.000
P1 0.500 0.500 0.500
Ru1 0.000 0.500 0.500
# **ΔH_f (0 K)**: 0.647 eV per atom
# **DFT total energy**: -42.0 eV for the cell shown
# **Calculated volume**: 76.90 Å³ per cell

=====

Number 9 is which compound? KZn2Co2